Entry 1:
A geometry-optimized CoIr2Os structure, computed with PBE-GGA.

Cell and atoms, written as CIF:
```
data_CoIr2Os
_cell_length_a 3.798
_cell_length_b 3.798
_cell_length_c 3.763
_cell_angle_alpha 90.00
_cell_angle_beta 90.00
_cell_angle_gamma 90.00
_space_group_name_H-M_alt 'P 1'
_space_group_IT_number 1
_space_group_name_Hall 'P 1'
loop_
_atom_site_label
_atom_site_type_symbol
_atom_site_fract_x
_atom_site_fract_y
_atom_site_fract_z
Co1 Co 0.000 0.000 0.000
Ir1 Ir 0.000 0.500 0.500
Ir2 Ir 0.500 0.000 0.500
Os1 Os 0.500 0.500 0.000
```

* space-group type: P4/mmm, No. 123
* energy above the lowest structure with this stoichiometry: 0.087 eV per atom
* ΔE_f: 0.107 eV/atom
* uncorrected energy: -8.907 eV per atom


Entry 2:
A geometry-optimized Zr2ScCr structure, computed with PBE-GGA.

Cell and atoms, written as CIF:
```
data_Zr2ScCr
_cell_length_a 3.353
_cell_length_b 4.850
_cell_length_c 10.009
_cell_angle_alpha 90.00
_cell_angle_beta 90.00
_cell_angle_gamma 90.00
_space_group_name_H-M_alt 'P 1'
_space_group_IT_number 1
_space_group_name_Hall 'P 1'
loop_
_atom_site_label
_atom_site_type_symbol
_atom_site_fract_x
_atom_site_fract_y
_atom_site_fract_z
Zr1 Zr 0.000 0.000 0.000
Zr2 Zr 0.000 0.500 0.214
Zr3 Zr 0.500 0.000 0.714
Zr4 Zr 0.500 0.500 0.500
Sc1 Sc 0.000 0.500 0.784
Sc2 Sc 0.500 0.000 0.284
Cr1 Cr 0.000 0.000 0.508
Cr2 Cr 0.500 0.500 0.008
```

* space-group type: Imm2, No. 44
* energy above the lowest structure with this stoichiometry: 0.014 eV per atom
* ΔE_f: 0.158 eV/atom
* uncorrected energy: -8.105 eV per atom


Entry 3:
A geometry-optimized Co3AsW structure, computed with PBE-GGA.

Cell and atoms, written as CIF:
```
data_Co3AsW
_cell_length_a 4.448
_cell_length_b 4.448
_cell_length_c 4.448
_cell_angle_alpha 90.00
_cell_angle_beta 90.00
_cell_angle_gamma 90.00
_space_group_name_H-M_alt 'P 1'
_space_group_IT_number 1
_space_group_name_Hall 'P 1'
loop_
_atom_site_label
_atom_site_type_symbol
_atom_site_fract_x
_atom_site_fract_y
_atom_site_fract_z
Co1 Co 0.000 0.000 0.500
Co2 Co 0.000 0.500 0.000
Co3 Co 0.500 0.000 0.000
As1 As 0.500 0.500 0.500
W1 W 0.000 0.000 0.000
```

* space-group type: Pm-3m, No. 221
* energy above the lowest structure with this stoichiometry: 0.439 eV per atom
* ΔE_f: 1.515 eV/atom
* uncorrected energy: -6.270 eV per atom


Entry 4:
A geometry-optimized TiBeIr structure, computed with PBE-GGA.

Cell and atoms, written as CIF:
```
data_TiBeIr
_cell_length_a 5.340
_cell_length_b 5.340
_cell_length_c 6.172
_cell_angle_alpha 90.00
_cell_angle_beta 90.00
_cell_angle_gamma 90.00
_space_group_name_H-M_alt 'P 1'
_space_group_IT_number 1
_space_group_name_Hall 'P 1'
loop_
_atom_site_label
_atom_site_type_symbol
_atom_site_fract_x
_atom_site_fract_y
_atom_site_fract_z
Ti1 Ti 0.241 0.241 0.000
Ti2 Ti 0.259 0.741 0.250
Ti3 Ti 0.741 0.259 0.750
Ti4 Ti 0.759 0.759 0.500
Be1 Be 0.044 0.956 0.750
Be2 Be 0.456 0.456 0.500
Be3 Be 0.544 0.544 0.000
Be4 Be 0.956 0.044 0.250
Ir1 Ir 0.178 0.178 0.500
Ir2 Ir 0.322 0.678 0.750
Ir3 Ir 0.678 0.322 0.250
Ir4 Ir 0.822 0.822 0.000
```

* space-group type: P4_12_12, No. 92
* energy above the lowest structure with this stoichiometry: 0.731 eV per atom
* ΔE_f: 0.053 eV/atom
* uncorrected energy: -6.775 eV per atom


Entry 5:
A geometry-optimized TaGa3O structure, computed with PBE-GGA.

Cell and atoms, written as CIF:
```
data_TaGa3O
_cell_length_a 4.224
_cell_length_b 4.224
_cell_length_c 4.224
_cell_angle_alpha 90.00
_cell_angle_beta 90.00
_cell_angle_gamma 90.00
_space_group_name_H-M_alt 'P 1'
_space_group_IT_number 1
_space_group_name_Hall 'P 1'
loop_
_atom_site_label
_atom_site_type_symbol
_atom_site_fract_x
_atom_site_fract_y
_atom_site_fract_z
Ta1 Ta 0.000 0.000 0.000
Ga1 Ga 0.000 0.500 0.500
Ga2 Ga 0.500 0.000 0.500
Ga3 Ga 0.500 0.500 0.000
O1 O 0.500 0.500 0.500
```

* space-group type: Pm-3m, No. 221
* energy above the lowest structure with this stoichiometry: 0.000 eV per atom
* uncorrected energy: -5.260 eV per atom
* E_form (uncorrected): -0.08 eV per atom